(1)
Material: SnHgOs3
Method: DFT, SCAN
State: single point on PBEsol structure

The structure belongs to space group Pm-3m (No. 221); the cell edges are 4.833, 4.833 and 4.833 Å and the angles 90.00°, 90.00° and 90.00°. Symmetry generates all atoms from Sn at (0.000, 0.000, 0.000), Hg at (0.500, 0.500, 0.500) and Os at (0.000, 0.500, 0.500).

Its formation energy is 300.8 kJ/mol of atoms. The crystal system is cubic. Its total energy is -60.828 eV per atom. The calculation puts the density at 13.10 g cm⁻³.

(2)
Material: PtS2ClO
Method: DFT, SCAN
State: single point on PBEsol structure

The structure belongs to space group P4/mmm (No. 123); the cell edges are 4.567, 4.567 and 4.905 Å and the angles 90.00°, 90.00° and 90.00°. Symmetry generates all atoms from Pt at (0.000, 0.000, 0.000), S at (0.000, 0.500, 0.000), Cl at (0.000, 0.000, 0.500) and O at (0.500, 0.500, 0.500).

The crystal system is tetragonal. Its total energy is -19.880 eV per atom. The calculation puts the density at 5.04 g cm⁻³.

(3)
Material: TlAgGe2O
Method: DFT, SCAN
State: single point on PBEsol structure

The structure belongs to space group P4/mmm (No. 123); the cell edges are 4.475, 4.475 and 4.549 Å and the angles 90.00°, 90.00° and 90.00°. Symmetry generates all atoms from Tl at (0.000, 0.000, 0.000), Ag at (0.500, 0.500, 0.000), Ge at (0.000, 0.500, 0.500) and O at (0.500, 0.500, 0.500).

The crystal system is tetragonal. Its total energy is -29.456 eV per atom. The calculation puts the density at 8.63 g cm⁻³.

(4)
Material: Te2Os3
Method: DFT, SCAN
State: single point on PBEsol structure

The structure belongs to space group P-3m1 (No. 164); the cell edges are 4.2879, 4.2879 and 5.6354 Å and the angles 90.00°, 90.00° and 120.00°. Symmetry generates all atoms from Te at (0.3333, 0.6667, 0.2885), Os at (0.0000, 0.0000, 0.5000) and Os at (0.3333, 0.6667, 0.8304).

The crystal system is trigonal. Its total energy is -57.185 eV per atom. The calculation puts the density at 15.28 g cm⁻³.

(5)
Material: BeAl2Tl
Method: DFT, SCAN
State: single point on PBEsol structure

The structure belongs to space group Pm (No. 6); the cell edges are 2.956, 3.749 and 6.593 Å and the angles 90.00°, 102.81° and 90.00°. Symmetry generates all atoms from Be at (0.000, 0.000, 0.000), Al at (0.434, 0.500, 0.867), Al at (0.812, 0.000, 0.623) and Tl at (0.152, 0.500, 0.317).

Its formation energy is 34.7 kJ/mol of atoms. The crystal system is monoclinic. The energy above the most stable polymorph in this dataset comes out at 0.012 eV/atom. Its total energy is -22.694 eV per atom. The calculation puts the density at 6.23 g cm⁻³.

(6)
Material: TbSiPd2
Method: DFT, SCAN
State: single point on PBEsol structure

The structure belongs to space group Pnma (No. 62); the cell edges are 7.268, 6.886 and 5.475 Å and the angles 90.00°, 90.00° and 90.00°. Symmetry generates all atoms from Tb at (0.029, 0.250, 0.141), Si at (0.121, 0.750, 0.357) and Pd at (0.177, 0.052, 0.593).

The crystal system is orthorhombic. Its total energy is -31.639 eV per atom. The calculation puts the density at 9.69 g cm⁻³.

(7)
Material: K2Cu5Te5
Method: DFT, SCAN
State: single point on PBEsol structure

The structure belongs to space group Cmcm (No. 63); the cell edges are 4.038, 15.888 and 18.394 Å and the angles 90.00°, 90.00° and 90.00°. Symmetry generates all atoms from K at (0.000, 0.013, 0.118), Cu at (0.000, 0.180, 0.750), Cu at (0.000, 0.225, 0.544), Cu at (0.000, 0.297, 0.147), Te at (0.000, 0.309, 0.666), Te at (0.000, 0.372, 0.020) and Te at (0.000, 0.416, 0.250).

The crystal system is orthorhombic. Its total energy is -23.663 eV per atom. The calculation puts the density at 5.82 g cm⁻³.

(8)
Material: LaP2W
Method: DFT, SCAN
State: single point on PBEsol structure

The structure belongs to space group Imm2 (No. 44); the cell edges are 3.311, 3.450 and 13.286 Å and the angles 90.00°, 90.00° and 90.00°. Symmetry generates all atoms from La at (0.000, 0.000, 0.000), P at (0.000, 0.000, 0.619), P at (0.000, 0.500, 0.820) and W at (0.000, 0.500, 0.249).

Its formation energy is -54.3 kJ/mol of atoms. The crystal system is orthorhombic. The energy above the most stable polymorph in this dataset comes out at 0.148 eV/atom. Its total energy is -33.961 eV per atom. The calculation puts the density at 8.42 g cm⁻³.

(9)
Material: MoSe2I
Method: DFT, SCAN
State: single point on PBEsol structure

The structure belongs to space group I-42d (No. 122); the cell edges are 6.992, 6.992 and 9.712 Å and the angles 90.00°, 90.00° and 90.00°. Symmetry generates all atoms from Mo at (0.000, 0.000, 0.000), Se at (0.143, 0.750, 0.125) and I at (0.000, 0.000, 0.500).

The crystal system is tetragonal. Its total energy is -27.805 eV per atom. The calculation puts the density at 5.33 g cm⁻³.

(10)
Material: ZrPtO2F
Method: DFT, SCAN
State: single point on PBEsol structure

The structure belongs to space group P4/mmm (No. 123); the cell edges are 4.109, 4.109 and 4.057 Å and the angles 90.00°, 90.00° and 90.00°. Symmetry generates all atoms from Zr at (0.000, 0.000, 0.000), Pt at (0.500, 0.500, 0.500), O at (0.000, 0.500, 0.000) and F at (0.000, 0.000, 0.500).

The crystal system is tetragonal. Its total energy is -25.175 eV per atom. The calculation puts the density at 8.18 g cm⁻³.

(11)
Material: KNa2Sr
Method: DFT, SCAN
State: single point on PBEsol structure

The structure belongs to space group Fm-3m (No. 225); the cell edges are 9.131, 9.131 and 9.131 Å and the angles 90.00°, 90.00° and 90.00°. Symmetry generates all atoms from K at (0.000, 0.000, 0.000), Na at (0.250, 0.250, 0.250) and Sr at (0.000, 0.000, 0.500).

Its formation energy is 6.6 kJ/mol of atoms. The crystal system is cubic. The energy above the most stable polymorph in this dataset comes out at 0.000 eV/atom. Its total energy is -9.690 eV per atom. The calculation puts the density at 1.51 g cm⁻³.

(12)
Material: InRu2Br
Method: DFT, SCAN
State: single point on PBEsol structure

The structure belongs to space group F-43m (No. 216); the cell edges are 6.512, 6.512 and 6.512 Å and the angles 90.00°, 90.00° and 90.00°. Symmetry generates all atoms from In at (0.000, 0.000, 0.000), Ru at (0.000, 0.000, 0.500), Ru at (0.250, 0.250, 0.250) and Br at (0.250, 0.250, 0.750).

The crystal system is cubic. Its total energy is -29.652 eV per atom. The calculation puts the density at 9.55 g cm⁻³.

(13)
Material: TaCuSi3
Method: DFT, SCAN
State: single point on PBEsol structure

The structure belongs to space group Pm-3m (No. 221); the cell edges are 4.354, 4.354 and 4.354 Å and the angles 90.00°, 90.00° and 90.00°. Symmetry generates all atoms from Ta at (0.000, 0.000, 0.000), Cu at (0.500, 0.500, 0.500) and Si at (0.000, 0.500, 0.500).

The crystal system is cubic. Its total energy is -21.216 eV per atom. The calculation puts the density at 6.61 g cm⁻³.

(14)
Material: La5Ge3O
Method: DFT, SCAN
State: single point on PBEsol structure

The structure belongs to space group P6_3/mcm (No. 193); the cell edges are 8.8968, 8.8968 and 6.5854 Å and the angles 90.00°, 90.00° and 120.00°. Symmetry generates all atoms from La at (0.0000, 0.2280, 0.2500), La at (0.3333, 0.6667, 0.0000), Ge at (0.0000, 0.3996, 0.7500) and O at (0.0000, 0.0000, 0.0000).

The crystal system is hexagonal. Its total energy is -32.398 eV per atom. The calculation puts the density at 6.83 g cm⁻³.

(15)
Material: Ca2PIr
Method: DFT, SCAN
State: single point on PBEsol structure

The structure belongs to space group Amm2 (No. 38); the cell edges are 4.300, 4.408 and 9.476 Å and the angles 90.00°, 90.00° and 90.00°. Symmetry generates all atoms from Ca at (0.000, 0.000, 0.000), Ca at (0.500, 0.000, 0.297), P at (0.500, 0.000, 0.608) and Ir at (0.000, 0.000, 0.693).

Its formation energy is -86.9 kJ/mol of atoms. The crystal system is orthorhombic. Its total energy is -26.106 eV per atom. The calculation puts the density at 5.61 g cm⁻³.

(16)
Material: Sr2YTc
Method: DFT, SCAN
State: single point on PBEsol structure

The structure belongs to space group P4/mmm (No. 123); the cell edges are 3.455, 3.455 and 10.225 Å and the angles 90.00°, 90.00° and 90.00°. Symmetry generates all atoms from Sr at (0.000, 0.000, 0.196), Y at (0.500, 0.500, 0.500) and Tc at (0.500, 0.500, 0.000).

Its formation energy is 72.6 kJ/mol of atoms. The crystal system is tetragonal. The energy above the most stable polymorph in this dataset comes out at 0.065 eV/atom. Its total energy is -26.111 eV per atom. The calculation puts the density at 4.93 g cm⁻³.

(17)
Material: In3BrN
Method: DFT, SCAN
State: single point on PBEsol structure

The structure belongs to space group Pm-3m (No. 221); the cell edges are 4.900, 4.900 and 4.900 Å and the angles 90.00°, 90.00° and 90.00°. Symmetry generates all atoms from In at (0.000, 0.000, 0.500), Br at (0.500, 0.500, 0.500) and N at (0.000, 0.000, 0.000).

The crystal system is cubic. Its total energy is -25.416 eV per atom. The calculation puts the density at 6.19 g cm⁻³.

(18)
Material: NbAg3Pb
Method: DFT, SCAN
State: single point on PBEsol structure

The structure belongs to space group Pm-3m (No. 221); the cell edges are 5.072, 5.072 and 5.072 Å and the angles 90.00°, 90.00° and 90.00°. Symmetry generates all atoms from Nb at (0.000, 0.000, 0.000), Ag at (0.000, 0.000, 0.500) and Pb at (0.500, 0.500, 0.500).

Its formation energy is 126.4 kJ/mol of atoms. The crystal system is cubic. Its total energy is -39.292 eV per atom. The calculation puts the density at 7.94 g cm⁻³.

(19)
Material: HfCuSiAs
Method: DFT, SCAN
State: single point on PBEsol structure

The structure belongs to space group P4/nmm (No. 129, origin choice 2); the cell edges are 3.614, 3.614 and 9.474 Å and the angles 90.00°, 90.00° and 90.00°. Symmetry generates all atoms from Hf at (0.250, 0.250, 0.222), Cu at (0.250, 0.750, 0.500), Si at (0.250, 0.750, 0.000) and As at (0.250, 0.250, 0.681).

The crystal system is tetragonal. Its total energy is -27.592 eV per atom. The calculation puts the density at 9.26 g cm⁻³.

(20)
Material: CeSi2
Method: DFT, SCAN
State: single point on PBEsol structure

The structure belongs to space group I4_1/amd (No. 141, origin choice 2); the cell edges are 4.039, 4.039 and 14.082 Å and the angles 90.00°, 90.00° and 90.00°. Symmetry generates all atoms from Ce at (0.000, 0.250, 0.375) and Si at (0.000, 0.250, 0.792).

The crystal system is tetragonal. Its total energy is -22.144 eV per atom. The calculation puts the density at 5.67 g cm⁻³.

(21)
Material: SrBeAs
Method: DFT, SCAN
State: single point on PBEsol structure

The structure belongs to space group P-6m2 (No. 187); the cell edges are 3.9153, 3.9153 and 4.5932 Å and the angles 90.00°, 90.00° and 120.00°. Symmetry generates all atoms from Sr at (0.0000, 0.0000, 0.0000), Be at (0.6667, 0.3333, 0.5000) and As at (0.3333, 0.6667, 0.5000).

Its formation energy is -72.1 kJ/mol of atoms. The crystal system is hexagonal. Its total energy is -16.354 eV per atom. The calculation puts the density at 4.67 g cm⁻³.

(22)
Material: Pr2Re3Si5
Method: DFT, SCAN
State: single point on PBEsol structure

The structure belongs to space group P4/mnc (No. 128); the cell edges are 10.972, 10.972 and 5.675 Å and the angles 90.00°, 90.00° and 90.00°. Symmetry generates all atoms from Pr at (0.077, 0.236, 0.000), Re at (0.000, 0.500, 0.250), Re at (0.124, 0.852, 0.500), Si at (0.000, 0.000, 0.262), Si at (0.024, 0.316, 0.500) and Si at (0.171, 0.671, 0.250).

The crystal system is tetragonal. Its total energy is -35.563 eV per atom. The calculation puts the density at 9.54 g cm⁻³.

(23)
Material: Dy2GaCo2
Method: DFT, SCAN
State: single point on PBEsol structure

The structure belongs to space group Immm (No. 71); the cell edges are 3.993, 5.317 and 8.156 Å and the angles 90.00°, 90.00° and 90.00°. Symmetry generates all atoms from Dy at (0.000, 0.000, 0.206), Ga at (0.000, 0.500, 0.000) and Co at (0.000, 0.283, 0.500).

Its formation energy is -36.1 kJ/mol of atoms. The crystal system is orthorhombic. Its total energy is -29.684 eV per atom. The calculation puts the density at 9.83 g cm⁻³.

(24)
Material: K2TlPt
Method: DFT, SCAN
State: single point on PBEsol structure

The structure belongs to space group Imm2 (No. 44); the cell edges are 3.957, 5.595 and 11.311 Å and the angles 90.00°, 90.00° and 90.00°. Symmetry generates all atoms from K at (0.000, 0.000, 0.000), K at (0.000, 0.500, 0.192), Tl at (0.000, 0.000, 0.400) and Pt at (0.000, 0.500, 0.742).

Its formation energy is -15.1 kJ/mol of atoms. The crystal system is orthorhombic. The energy above the most stable polymorph in this dataset comes out at 0.028 eV/atom. Its total energy is -39.959 eV per atom. The calculation puts the density at 6.33 g cm⁻³.